Ca4C3: optimized geometry, PBE.

Computed properties:
- total moment (μB/f.u.) = 2.03
- E (eV/atom) = -4.310
- E above lowest polymorph (meV/atom) = 0.0
- space-group type = I4/mmm (139)
- energy of formation (eV per formula unit) = 5.51

Unit cell a=11.4147 b=11.4147 c=11.4147 alpha=162.42 beta=162.42 gamma=24.96
Closest atoms and distances in Å follow each position.
Atoms (fractional coordinates):
Ca  0.8057  0.8057  0.0000  4 C 2.50
Ca  0.1943  0.1943  0.0000  4 C 2.50
Ca  0.4345  0.4345  0.0000  1 C 2.48
Ca  0.5655  0.5655  0.0000  1 C 2.48
C  0.0000  0.0000  0.0000  8 Ca 2.87
C  0.3232  0.3232  0.0000  5 Ca 2.48-2.50
C  0.6768  0.6768  0.0000  5 Ca 2.48-2.50